{"formula": "SrBe2Cl", "functional": "PBE", "state": "optimized geometry", "lattice": [[0.0000, 3.6044, 3.6044], [3.6044, 0.0000, 3.6044], [3.6044, 3.6044, 0.0000]], "species": ["Sr", "Be", "Be", "Cl"], "fractional_positions": [[0.5000, 0.5000, 0.5000], [0.2500, 0.2500, 0.2500], [0.7500, 0.7500, 0.7500], [0.0000, 0.0000, 0.0000]], "raw_formation_energy_ev_per_fu": 2.918, "final_energy_ev_per_cell": -8.06, "sg": "No. 225", "mass_density_g_cm3": 2.50, "e_above_lowest_polymorph_mev_per_atom": 892}